Entry 1:
VASP calculation (PBE) on a relaxed EuIBr crystal.

Output
Polymorph energy (0 for the lowest one) (meV/atom): 66
Uncorrected formation energy (eV per atom): -1.749
Space-group type: F-43m
Mass density (Mg/m³): 5.2

abc: 5.447 5.447 5.447
angles: 60.00 60.00 60.00
Sites, in units of the cell vectors:
Eu (0.250, 0.250, 0.250)
I (0.500, 0.500, 0.500)
Br (0.000, 0.000, 0.000)

Entry 2:
VASP calculation (PBE) on a relaxed EuIBr crystal.

Output
Polymorph energy (0 for the lowest one) (meV/atom): 0
Uncorrected formation energy (eV per atom): -1.815
Space-group type: P3m1
Mass density (Mg/m³): 4.5

abc: 4.615 4.615 7.187
angles: 90.00 90.00 120.00
Sites, in units of the cell vectors:
Eu (0.667, 0.333, 0.351)
I (0.000, 0.000, 0.089)
Br (0.333, 0.667, 0.560)

Entry 3:
VASP calculation (PBE) on a relaxed EuIBr crystal.

Output
Polymorph energy (0 for the lowest one) (meV/atom): 22
Uncorrected formation energy (eV per atom): -1.793
Space-group type: Pnma
Mass density (Mg/m³): 6.0

abc: 4.809 8.454 9.796
angles: 90.00 90.00 90.00
Sites, in units of the cell vectors:
Eu (0.750, 0.226, 0.872)
Eu (0.250, 0.774, 0.128)
Eu (0.750, 0.726, 0.628)
Eu (0.250, 0.274, 0.372)
I (0.750, 0.973, 0.333)
I (0.250, 0.027, 0.667)
I (0.750, 0.473, 0.167)
I (0.250, 0.527, 0.833)
Br (0.250, 0.145, 0.065)
Br (0.750, 0.855, 0.935)
Br (0.250, 0.645, 0.435)
Br (0.750, 0.355, 0.565)

- Which formula does entry 2 have?
  EuIBr

- Among the records above, which one has the highest polymorph energy (0 for the lowest one)?
  number 1